ScB4Ir3 PBE optimized geometry; calculated formation energy = -0.574 eV per atom; space-group type = No. 176
1.0
7.6159 0.0000 0.0000
-3.8079 6.5955 0.0000
0.0000 0.0000 3.4784
Sc B Ir
2 8 6
Direct
0.3333 0.6667 0.2500
0.6667 0.3333 0.7500
0.0000 0.0000 0.0000
0.0000 0.0000 0.5000
0.0499 0.5980 0.7500
0.4020 0.4520 0.7500
0.4520 0.0499 0.2500
0.5480 0.9501 0.7500
0.5980 0.5480 0.2500
0.9501 0.4020 0.2500
0.0761 0.3288 0.7500
0.2527 0.9239 0.7500
0.3288 0.2527 0.2500
0.6712 0.7473 0.7500
0.7473 0.0761 0.2500
0.9239 0.6712 0.2500

***

Ce4Tl5Hg2 PBE optimized geometry; calculated formation energy = -0.227 eV per atom; space-group type = No. 10
1.0
8.4137 0.0000 0.0000
0.0000 3.3676 0.0000
-0.8320 0.0000 10.7682
Ce Tl Hg
4 5 2
Direct
0.1704 0.0000 0.3827
0.2735 0.0000 0.9406
0.7265 0.0000 0.0594
0.8296 0.0000 0.6173
0.1885 0.5000 0.6608
0.4382 0.5000 0.1992
0.5000 0.5000 0.5000
0.5618 0.5000 0.8008
0.8115 0.5000 0.3392
0.0600 0.5000 0.1340
0.9400 0.5000 0.8660

***

Respective raw total energy values: -128.4, -38.7 eV for the cell shown.